Entry 1:
First-principles (PBE) data for a relaxed structure of Na3GeTe2, as listed in the Alexandria database.

```
12
Lattice="7.731 0.000 0.000 0.000 6.702 0.000 -3.865 -3.351 7.570" Properties=species:S:1:pos:R:3 pbc="T T T"
Te -1.717 3.351 5.553
Te 1.717 0.000 5.553
Te 2.149 3.351 2.017
Te 5.582 0.000 2.017
Na 3.865 1.676 0.000
Na 0.000 5.027 3.531
Na 3.865 -1.676 4.039
Na 0.000 1.676 3.531
Na 3.865 5.027 0.000
Na 3.865 1.675 4.039
Ge 0.000 0.000 0.000
Ge 0.000 3.351 0.000
```

The formation energy (no corrections) is -0.445 eV per atom.

---

Entry 2:
First-principles (PBE) data for a relaxed structure of BaCa3Pt, as listed in the Alexandria database.

```
5
Lattice="-3.875 0.471 1.168 -1.510 3.749 -6.521 -0.728 -7.609 0.651" Properties=species:S:1:pos:R:3 pbc="T T T"
Ca -0.875 -5.477 -0.695
Ca -3.553 -3.966 -3.081
Ca -2.387 -1.955 -0.023
Ba -1.209 -0.626 -3.759
Pt -2.704 -6.825 0.889
```

For the excess energy over the best structure of this formula in the dataset, the calculation gives 0.294 eV/atom. The calculation puts the formation energy at -81 kJ/mol of formula units.

---

Entry 3:
First-principles (PBE) data for a relaxed structure of HoMgCu2Si2, as listed in the Alexandria database.

```
6
Lattice="-2.925 -2.197 -1.899 1.765 -1.449 3.431 -4.717 3.064 3.721" Properties=species:S:1:pos:R:3 pbc="T T T"
Ho -2.359 1.532 1.860
Mg 0.000 0.000 0.000
Si -0.920 -0.970 2.539
Si -4.957 0.388 2.714
Cu -2.313 -1.330 0.628
Cu -3.564 0.748 4.625
```

The formation energy (no corrections) is -0.453 eV per atom.

---

Number 1: E -17.5 eV/f.u.. Number 2: E -14.8 eV/f.u.. Number 3: E -27.9 eV/f.u..